VASP calculation (PBE) on a geometry-optimized Pr2Dy3Cd2 structure.

a b c (Å): 5.4828 5.4848 8.6867
angles (deg): 108.44 90.00 119.99
Closest atoms and distances in Å follow each position.
Fractional coordinates of all 7 atoms:
Pr  0.9247  0.8495  0.2738  4 Cd 3.34-3.35, 3 Dy 3.53-3.54, 1 Pr 3.66
Pr  0.0753  0.1505  0.7262  4 Cd 3.34-3.35, 3 Dy 3.53-3.54, 1 Pr 3.66
Dy  0.5000  0.0000  0.0000  6 Cd 3.36
Dy  0.6561  0.3121  0.4679  1 Cd 3.18, 3 Dy 3.21, 3 Pr 3.53-3.54
Dy  0.3439  0.6879  0.5321  1 Cd 3.18, 3 Dy 3.21, 3 Pr 3.53-3.54
Cd  0.7870  0.5740  0.8609  4 Dy 3.18-3.36, 4 Pr 3.34-3.35
Cd  0.2130  0.4260  0.1391  4 Dy 3.18-3.36, 4 Pr 3.34-3.35

space group	No. 166
uncorrected energy	-3.740	eV/atom
ΔH_f (0 K)	-0.141	eV/atom
DOS at the Fermi energy	1.315	states/eV per atom
offset from the most stable computed form	0.0	meV per atom